No. 1
This record from Alexandria via LeMat-Bulk describes Nd2ScAgSe5 after structural relaxation. The functional is PBE.

Computed properties:
Space group ... Cmc2_1, No. 36
Energy ... -49.60 eV per formula unit
Calculated density ... 6.311 g cm⁻³
Spin magnetization ... 0.00 μB/cell

Cell and atoms, written as extended XYZ:
```
18
Lattice="2.049 -8.697 0.000 2.049 8.697 0.000 0.000 0.000 12.346" Properties=species:S:1:pos:R:3 pbc="T T T"
Nd 2.049 6.773 6.173
Nd 2.049 6.480 1.475
Nd 2.049 -6.480 7.648
Nd 2.049 -6.773 0.000
Sc 2.049 5.317 10.184
Sc 2.049 -5.317 4.011
Ag 2.049 1.053 3.314
Ag 2.049 -1.053 9.488
Se 2.049 7.821 10.989
Se 2.049 3.740 5.857
Se 2.049 3.428 2.023
Se 2.049 2.538 10.053
Se 2.049 0.066 7.208
Se 2.049 -0.066 1.034
Se 2.049 -2.538 3.879
Se 2.049 -3.428 8.196
Se 2.049 -3.740 12.031
Se 2.049 -7.821 4.816
```

---

No. 2
This record from Alexandria via LeMat-Bulk describes NdSc2Ag3Se6 after structural relaxation. The functional is PBE.

Computed properties:
Space group ... C2/m, No. 12
Energy ... -59.77 eV per formula unit
Calculated density ... 6.081 g cm⁻³
Spin magnetization ... 0.00 μB/cell

Cell and atoms, written as extended XYZ:
```
12
Lattice="3.528 -6.136 0.000 3.528 6.136 0.000 -2.319 0.000 6.506" Properties=species:S:1:pos:R:3 pbc="T T T"
Nd 0.000 0.000 0.000
Sc 3.528 2.077 0.000
Sc 3.528 -2.077 0.000
Ag 2.369 4.212 3.253
Ag 2.369 0.000 3.253
Ag 2.369 -4.212 3.253
Se 1.251 2.183 1.548
Se 0.193 0.000 4.950
Se 1.251 -2.183 1.548
Se 3.487 2.183 4.958
Se 4.545 0.000 1.556
Se 3.487 -2.183 4.958
```

---

No. 3
This record from Alexandria via LeMat-Bulk describes NdScSiAg after structural relaxation. The functional is PBE.

Computed properties:
Space group ... F-43m, No. 216
Energy ... -20.92 eV per formula unit
Calculated density ... 6.094 g cm⁻³
Spin magnetization ... 0.16 μB/cell

Cell and atoms, written as extended XYZ:
```
4
Lattice="0.000 3.538 3.538 3.538 0.000 3.538 3.538 3.538 0.000" Properties=species:S:1:pos:R:3 pbc="T T T"
Nd 0.000 0.000 0.000
Sc 3.538 3.538 3.538
Si 1.769 1.769 1.769
Ag 5.308 5.308 5.308
```

---

Q: Number 2 is which compound?
A: NdSc2Ag3Se6

---

Q: What is the calculated density in the third record?
A: 6.094 g cm⁻³

---

Repeat the third record exactly.
This record from Alexandria via LeMat-Bulk describes NdScSiAg after structural relaxation. The functional is PBE.

Computed properties:
Space group ... F-43m, No. 216
Energy ... -20.92 eV per formula unit
Calculated density ... 6.094 g cm⁻³
Spin magnetization ... 0.16 μB/cell

Cell and atoms, written as extended XYZ:
```
4
Lattice="0.000 3.538 3.538 3.538 0.000 3.538 3.538 3.538 0.000" Properties=species:S:1:pos:R:3 pbc="T T T"
Nd 0.000 0.000 0.000
Sc 3.538 3.538 3.538
Si 1.769 1.769 1.769
Ag 5.308 5.308 5.308
```